Compound: Mg3Ga5Hg12
Source: Alexandria via LeMat-Bulk
Functional: PBE
Structure: relaxed

- Energy relative to the elements: 102 meV/atom

abc: 14.199 14.199 14.199
angles: 109.47 109.47 109.47
Fractional positions:
1 Mg 0.750 0.375 0.125
2 Mg 0.875 0.750 0.125
3 Mg 0.375 0.750 0.625
4 Mg 0.250 0.125 0.375
5 Mg 0.875 0.125 0.250
6 Mg 0.375 0.625 0.250
7 Mg 0.625 0.375 0.750
8 Mg 0.125 0.875 0.750
9 Mg 0.750 0.875 0.625
10 Mg 0.625 0.250 0.375
11 Mg 0.125 0.250 0.875
12 Mg 0.250 0.625 0.875
13 Ga 0.125 0.375 0.250
14 Ga 0.000 0.500 0.000
15 Ga 0.000 0.000 0.000
16 Ga 0.375 0.250 0.125
17 Ga 0.500 0.000 0.500
18 Ga 0.500 0.500 0.000
19 Ga 0.125 0.750 0.375
20 Ga 0.750 0.125 0.875
21 Ga 0.750 0.625 0.375
22 Ga 0.375 0.125 0.750
23 Ga 0.625 0.875 0.250
24 Ga 0.500 0.500 0.500
25 Ga 0.500 0.000 0.000
26 Ga 0.000 0.000 0.500
27 Ga 0.250 0.375 0.625
28 Ga 0.250 0.875 0.125
29 Ga 0.000 0.500 0.500
30 Ga 0.875 0.250 0.625
31 Ga 0.625 0.750 0.875
32 Ga 0.875 0.625 0.750
33 Hg 0.729 0.133 0.058
34 Hg 0.329 0.558 0.425
35 Hg 0.942 0.367 0.271
36 Hg 0.558 0.229 0.133
37 Hg 0.596 0.729 0.671
38 Hg 0.942 0.575 0.171
39 Hg 0.329 0.771 0.404
40 Hg 0.075 0.904 0.133
41 Hg 0.575 0.942 0.671
42 Hg 0.729 0.596 0.171
43 Hg 0.771 0.442 0.367
44 Hg 0.829 0.925 0.058
45 Hg 0.133 0.729 0.558
46 Hg 0.367 0.425 0.096
47 Hg 0.096 0.925 0.367
48 Hg 0.404 0.133 0.575
49 Hg 0.096 0.171 0.229
50 Hg 0.442 0.671 0.075
51 Hg 0.829 0.904 0.271
52 Hg 0.133 0.404 0.075
53 Hg 0.367 0.942 0.771
54 Hg 0.575 0.633 0.404
55 Hg 0.925 0.829 0.558
56 Hg 0.771 0.329 0.904
57 Hg 0.425 0.367 0.596
58 Hg 0.075 0.171 0.442
59 Hg 0.229 0.671 0.096
60 Hg 0.171 0.096 0.729
61 Hg 0.633 0.058 0.229
62 Hg 0.867 0.596 0.925
63 Hg 0.558 0.329 0.925
64 Hg 0.596 0.867 0.425
65 Hg 0.904 0.829 0.771
66 Hg 0.904 0.075 0.633
67 Hg 0.867 0.271 0.442
68 Hg 0.171 0.075 0.942
69 Hg 0.633 0.575 0.904
70 Hg 0.425 0.058 0.329
71 Hg 0.271 0.404 0.829
72 Hg 0.229 0.558 0.633
73 Hg 0.925 0.096 0.867
74 Hg 0.671 0.229 0.596
75 Hg 0.442 0.771 0.867
76 Hg 0.058 0.425 0.829
77 Hg 0.404 0.271 0.329
78 Hg 0.058 0.633 0.729
79 Hg 0.671 0.442 0.575
80 Hg 0.271 0.867 0.942

Compound: LiLaCeTl
Source: Alexandria via LeMat-Bulk
Functional: PBE
Structure: relaxed

- Energy relative to the elements: -88 meV/atom

abc: 5.502 5.502 5.502
angles: 60.00 60.00 60.00
Each line ends with the local moment (μB).
Fractional positions:
1 Tl 0.500 0.500 0.500  -0.01
2 Li 0.000 0.000 0.000  0.01
3 Ce 0.250 0.250 0.250  0.93
4 La 0.750 0.750 0.750  0.11

Compound: YTa3Co
Source: Alexandria via LeMat-Bulk
Functional: PBE
Structure: relaxed

- Excess energy over the best structure of this formula in the dataset: 0.000 eV/atom
- Energy relative to the elements: 567 meV/atom

abc: 4.705 4.705 4.705
angles: 90.00 90.00 90.00
Fractional positions:
1 Y 0.500 0.500 0.500
2 Co 0.000 0.000 0.000
3 Ta 0.000 0.500 0.000
4 Ta 0.000 0.000 0.500
5 Ta 0.500 0.000 0.000

Compound: CaIn2Sb
Source: Alexandria via LeMat-Bulk
Functional: PBE
Structure: relaxed

- E_form (uncorrected): -0.373 eV per atom

abc: 5.932 5.932 5.932
angles: 133.02 133.01 68.62
Fractional positions:
1 Sb 0.500 0.500 0.000
2 Ca 0.250 0.750 0.500
3 In 0.000 0.000 0.000
4 In 0.750 0.250 0.500

Compound: Sm4Dy3Tl2
Source: Alexandria via LeMat-Bulk
Functional: PBE
Structure: relaxed

- Energy relative to the elements: -95 meV/atom

abc: 6.610 9.539 9.539
angles: 80.98 76.71 76.71
Fractional positions:
1 Sm 0.478 0.834 0.295
2 Sm 0.022 0.705 0.166
3 Sm 0.522 0.166 0.705
4 Sm 0.978 0.295 0.834
5 Sm 0.148 0.136 0.487
6 Sm 0.352 0.513 0.864
7 Sm 0.852 0.864 0.513
8 Sm 0.648 0.487 0.136
9 Dy 0.039 0.068 0.157
10 Dy 0.461 0.843 0.932
11 Dy 0.961 0.932 0.843
12 Dy 0.539 0.157 0.068
13 Dy 0.250 0.492 0.508
14 Dy 0.750 0.508 0.492
15 Tl 0.637 0.203 0.369
16 Tl 0.863 0.631 0.797
17 Tl 0.363 0.797 0.631
18 Tl 0.137 0.369 0.203

Compound: PmErTm2
Source: Alexandria via LeMat-Bulk
Functional: PBE
Structure: relaxed

- Excess energy over the best structure of this formula in the dataset: 0.015 eV/atom
- Energy relative to the elements: 27 meV/atom

abc: 3.535 3.535 9.990
angles: 90.00 90.00 90.00
Fractional positions:
1 Tm 0.000 0.000 0.746
2 Tm 0.000 0.000 0.254
3 Pm 0.500 0.500 0.000
4 Er 0.500 0.500 0.500

Compound: Hf6Fe2Sn
Source: Alexandria via LeMat-Bulk
Functional: PBE
Structure: relaxed

- Energy relative to the elements: -196 meV/atom

abc: 7.777 7.777 7.777
angles: 102.39 112.38 113.87
Fractional positions:
1 Hf 0.513 0.697 0.816
2 Hf 0.487 0.303 0.184
3 Hf 0.119 0.303 0.816
4 Hf 0.881 0.697 0.184
5 Hf 0.789 0.764 0.553
6 Hf 0.211 0.236 0.447
7 Hf 0.211 0.764 0.975
8 Hf 0.789 0.236 0.025
9 Hf 0.690 0.359 0.669
10 Hf 0.310 0.641 0.331
11 Hf 0.310 0.980 0.669
12 Hf 0.690 0.020 0.331
13 Fe 0.500 0.367 0.867
14 Fe 0.500 0.633 0.133
15 Fe 0.664 0.000 0.664
16 Fe 0.336 0.000 0.336
17 Sn 0.000 0.500 0.500
18 Sn 0.000 0.000 0.000

Compound: Ce3Nd
Source: Alexandria via LeMat-Bulk
Functional: PBE
Structure: relaxed

- Excess energy over the best structure of this formula in the dataset: 0.000 eV/atom
- Energy relative to the elements: 109 meV/atom

abc: 4.859 4.859 4.859
angles: 90.00 90.00 90.00
Fractional positions:
1 Nd 0.000 0.000 0.000
2 Ce 0.000 0.500 0.500
3 Ce 0.500 0.000 0.500
4 Ce 0.500 0.500 0.000

DOS(E_F) (states/eV/f.u.)
9.09, 11.54, 7.84, 1.67, 12.73, 5.72, 8.02, 10.52
E (eV per atom)
-1.07, -3.87, -9.26, -3.27, -4.25, -4.54, -9.16, -5.53